This record from Alexandria via LeMat-Bulk describes crystalline LiTiIn at its relaxed geometry. The functional is GGA-PBE.

abc: 7.903 5.843 4.566
angles: 90.00 90.00 90.00
Sites, in units of the cell vectors:
Ti1 0.833 0.250 0.500
Li1 0.667 0.250 0.000
Ti2 0.167 0.750 0.500
Li2 0.833 0.750 0.500
In1 0.500 0.500 0.500
In2 0.000 0.000 0.000
Ti3 0.333 0.250 0.000
Li3 0.333 0.750 0.000
Ti4 0.667 0.750 0.000
Li4 0.167 0.250 0.500
In3 0.000 0.500 0.000
In4 0.500 0.000 0.500

* SG: No. 194
* mass density: 5.34 Mg/m³
* energy above the lowest structure with this stoichiometry: 226 meV per atom
* energy of formation: 0.053 eV per atom


This record from Alexandria via LeMat-Bulk describes crystalline Sb2Pd2S at its relaxed geometry. The functional is GGA-PBE.

abc: 7.267 7.267 3.812
angles: 90.00 90.00 90.00
Sites, in units of the cell vectors:
Sb1 0.843 0.343 0.500
S1 0.000 0.000 0.000
Pd1 0.363 0.863 0.000
Pd2 0.137 0.363 0.000
Sb2 0.343 0.157 0.500
Pd3 0.637 0.137 0.000
Sb3 0.657 0.843 0.500
Pd4 0.863 0.637 0.000
S2 0.500 0.500 0.000
Sb4 0.157 0.657 0.500

* SG: No. 127
* formation energy (no corrections): -92 meV per atom
* mass density: 8.06 Mg/m³


This record from Alexandria via LeMat-Bulk describes crystalline GaTc2Br at its relaxed geometry. The functional is GGA-PBE.

abc: 4.426 4.426 4.426
angles: 60.00 60.00 60.00
Sites, in units of the cell vectors:
Ga1 0.000 0.000 0.000
Tc1 0.250 0.250 0.250
Br1 0.500 0.500 0.500
Tc2 0.750 0.750 0.750

* SG: No. 225
* formation energy (no corrections): 687 meV per atom
* mass density: 9.36 Mg/m³
* energy above the lowest structure with this stoichiometry: 0 meV per atom